## BaMg4Zr (GGA-PBE)

Data for an optimized crystal structure of BaMg4Zr.

Cell: 6.1132 6.1132 6.1132 Å, 60.00 60.00 60.00°
Closest atoms and distances in Å follow each position.
Fractional positions:
Ba1 0.0000 0.0000 0.0000  12 Mg 3.59, 4 Zr 3.74
Mg1 0.1321 0.6226 0.6226  6 Mg 3.00-3.11
Mg2 0.6226 0.1321 0.6226  6 Mg 3.00-3.11
Mg3 0.6226 0.6226 0.1321  6 Mg 3.00-3.11
Mg4 0.6226 0.6226 0.6226  6 Mg 3.00-3.11
Zr1 0.2500 0.2500 0.2500  12 Mg 3.58, 4 Ba 3.74

Energy of formation from the pure elements = 0.17 eV/atom
Total magnetization = 0.03 μB per formula unit